Entry 1:
## SrCrC2 (PBE)

Data for SrCrC2 after structural relaxation.

ρ in g/cm3: 4.28
Total magnetization in μB per formula unit: 0.0
SG: I-42d (122)
Calculated total energy in eV/atom: -7.0910
Formation enthalpy at 0 K in eV per atom: 0.35
Energy relative to the lowest polymorph listed for this composition in eV per atom: 0.0000

abc: 5.581 5.581 5.676
angles: 60.55 60.55 90.00
Sites, in units of the cell vectors:
Sr  0.000  0.000  0.000
Sr  0.750  0.250  0.500
C  0.482  0.125  0.250
C  0.268  0.625  0.250
C  0.375  0.518  0.750
C  0.875  0.732  0.750
Cr  0.500  0.500  0.000
Cr  0.250  0.750  0.500

Entry 2:
## Rb2AlTeBr6 (PBE)

Data for Rb2AlTeBr6 after structural relaxation.

ρ in g/cm3: 3.63
Total magnetization in μB per formula unit: 0.0
SG: I4/mmm (139)
Calculated total energy in eV/atom: -2.8804
E_form (uncorrected) in meV per atom: -995

abc: 7.792 7.792 8.195
angles: 61.62 61.62 90.00
Sites, in units of the cell vectors:
Te  0.000  0.000  0.000
Br  0.294  0.294  0.412
Br  0.706  0.706  0.588
Br  0.263  0.263  0.000
Br  0.737  0.737  0.000
Br  0.737  0.263  0.000
Br  0.263  0.737  0.000
Rb  0.750  0.250  0.500
Rb  0.250  0.750  0.500
Al  0.500  0.500  0.000

Entry 3:
## Rb2PdCl4 (PBE)

Data for Rb2PdCl4 after structural relaxation.

ρ in g/cm3: 3.37
Total magnetization in μB per formula unit: 0.0
SG: I4/mmm (139)
Calculated total energy in eV/atom: -3.4096
E_form (uncorrected) in meV per atom: -1336
Energy relative to the lowest polymorph listed for this composition in eV per atom: 0.0458

abc: 5.076 5.076 8.792
angles: 73.22 73.22 90.00
Sites, in units of the cell vectors:
Rb  0.361  0.361  0.277
Rb  0.639  0.639  0.723
Pd  0.000  0.000  0.000
Cl  0.152  0.152  0.695
Cl  0.848  0.848  0.305
Cl  0.000  0.500  0.000
Cl  0.500  0.000  0.000

Entry 4:
## LiBiRh2O6 (PBE)

Data for LiBiRh2O6 after structural relaxation.

ρ in g/cm3: 7.41
Total magnetization in μB per formula unit: 0.0
SG: R3 (146)
Calculated total energy in eV/atom: -6.0175
E_form (uncorrected) in meV per atom: -993

abc: 5.411 5.411 5.542
angles: 60.78 60.78 60.00
Sites, in units of the cell vectors:
Li  0.807  0.807  0.580
Bi  0.300  0.300  0.100
Rh  0.515  0.515  0.454
Rh  0.019  0.019  0.942
O  0.658  0.227  0.241
O  0.227  0.875  0.241
O  0.875  0.658  0.241
O  0.393  0.730  0.739
O  0.730  0.137  0.739
O  0.137  0.393  0.739

Entry 5:
## CeHfSn2 (PBE)

Data for CeHfSn2 after structural relaxation.

ρ in g/cm3: 8.82
Total magnetization in μB per formula unit: 1.2
SG: R-3m (166)
Calculated total energy in eV/atom: -5.9891
Formation enthalpy at 0 K in eV per atom: -0.02

abc: 3.237 3.237 11.683
angles: 82.04 82.04 60.00
Site moments in Bohr magnetons follow the coordinates.
Sites, in units of the cell vectors:
Hf  0.500  0.500  0.500  0.04
Sn  0.094  0.094  0.718  0.01
Sn  0.906  0.906  0.282  0.01
Ce  0.000  0.000  0.000  0.80